Run one
Material: LaHo7Er4
Method: DFT, PBE-GGA
State: optimized geometry

Fermi-level density of states = 17.14 states/eV/f.u.
Magnetic moment = 0.000 μB per cell

Cell lengths 7.142, 9.438, 8.789 Å; angles 81.10, 90.04, 40.88 degrees
Positions (direct):
La  0.000  0.000  0.000
Ho  0.027  0.721  0.336
Ho  0.248  0.500  0.000
Ho  0.752  0.500  0.000
Er  0.469  0.279  0.664
Er  0.531  0.721  0.336
Ho  0.777  0.223  0.336
Er  0.279  0.221  0.335
Ho  0.500  0.000  0.000
Ho  0.223  0.777  0.664
Ho  0.973  0.279  0.664
Er  0.721  0.779  0.665


Run two
Material: LaHo7Er4
Method: DFT, PBE-GGA
State: optimized geometry

Fermi-level density of states = 21.03 states/eV/f.u.
Magnetic moment = 0.006 μB per cell

Cell lengths 5.851, 11.463, 6.694 Å; angles 82.86, 64.08, 75.21 degrees
Positions (direct):
Ho  0.500  0.000  0.000
Ho  0.364  0.507  0.764
Ho  0.056  0.663  0.225
Er  0.256  0.314  0.175
Ho  0.944  0.337  0.775
La  0.000  0.000  0.000
Er  0.372  0.774  0.481
Ho  0.790  0.922  0.499
Ho  0.636  0.493  0.236
Er  0.744  0.686  0.825
Ho  0.210  0.078  0.501
Er  0.628  0.226  0.519


Quick one: least stable of them? run two


Run one
Material: LaHo3Er5
Method: DFT, PBE-GGA
State: optimized geometry

Fermi-level density of states = 13.84 states/eV/f.u.
Magnetic moment = 0.000 μB per cell

Cell lengths 9.339, 9.339, 12.881 Å; angles 50.71, 50.71, 50.28 degrees
Positions (direct):
Ho  0.000  0.000  0.000
Er  0.678  0.322  0.000
Ho  0.000  0.000  0.500
Ho  0.174  0.174  0.660
Ho  0.826  0.826  0.340
La  0.100  0.100  0.137
La  0.900  0.900  0.863
Er  0.509  0.922  0.219
Er  0.491  0.078  0.781
Er  0.078  0.491  0.781
Ho  0.303  0.303  0.317
Er  0.371  0.371  0.929
Er  0.554  0.554  0.568
Er  0.322  0.678  0.000
Er  0.922  0.509  0.219
Er  0.446  0.446  0.432
Ho  0.697  0.697  0.683
Er  0.629  0.629  0.071


Run two
Material: LaHo3Er5
Method: DFT, PBE-GGA
State: optimized geometry

Fermi-level density of states = 13.90 states/eV/f.u.
Magnetic moment = 0.002 μB per cell

Cell lengths 6.000, 10.013, 11.138 Å; angles 111.92, 90.00, 107.43 degrees
Positions (direct):
Er  0.371  0.000  0.750
Er  0.629  0.000  0.250
Er  0.093  0.672  0.805
Ho  0.000  0.000  0.000
Er  0.579  0.672  0.305
Er  0.911  0.340  0.530
Ho  0.000  0.000  0.500
Ho  0.948  0.355  0.863
Er  0.429  0.340  0.030
Ho  0.407  0.355  0.363
La  0.858  0.000  0.750
Er  0.571  0.660  0.970
Ho  0.593  0.645  0.637
Er  0.907  0.328  0.195
Ho  0.052  0.645  0.137
Er  0.089  0.660  0.470
Er  0.421  0.328  0.695
La  0.142  0.000  0.250


Quick one: least stable of them? run one


Run one
Material: La4Ho2Er3
Method: DFT, PBE-GGA
State: optimized geometry

Fermi-level density of states = 15.66 states/eV/f.u.
Magnetic moment = 0.000 μB per cell

Cell lengths 5.137, 8.060, 8.100 Å; angles 107.43, 108.49, 90.00 degrees
Positions (direct):
Er  0.000  0.000  0.000
La  0.224  0.332  0.447
Er  0.888  0.328  0.776
Ho  0.332  0.000  0.665
La  0.554  0.330  0.107
La  0.446  0.670  0.893
Er  0.112  0.672  0.224
Ho  0.668  0.000  0.335
La  0.776  0.668  0.553


Run two
Material: La4Ho2Er3
Method: DFT, PBE-GGA
State: optimized geometry

Fermi-level density of states = 13.84 states/eV/f.u.
Magnetic moment = 0.000 μB per cell

Cell lengths 3.669, 6.759, 14.565 Å; angles 64.30, 90.00, 105.75 degrees
Positions (direct):
Er  0.382  0.765  0.612
Ho  0.334  0.669  0.208
La  0.113  0.226  0.606
La  0.887  0.774  0.394
La  0.645  0.291  0.128
Er  0.000  0.000  0.000
Ho  0.666  0.331  0.792
Er  0.618  0.235  0.388
La  0.355  0.709  0.872


Quick one: least stable of them? run two